The following is a PBE calculation of crystalline InHg2AuBr at its relaxed geometry, from Alexandria.

Structure (POSCAR):
```
InHg2AuBr
1.0
5.414 0.000 0.000
0.000 5.414 0.000
0.000 0.000 5.450
Hg Au Br In
2 1 1 1
Direct
0.000 0.500 0.000
0.500 0.000 0.000
0.000 0.000 0.000
0.500 0.500 0.500
0.000 0.000 0.500
```

## Properties
Its uncorrected formation energy is -0.1985 eV/atom. For the final energy, the calculation gives -1.86 eV per atom. Its size of the total moment is 0.00 μB/cell.


The following is a PBE calculation of crystalline Ac6ZnAg2 at its relaxed geometry, from Alexandria.

Structure (POSCAR):
```
Ac6ZnAg2
1.0
8.889 0.162 -3.219
-4.618 7.754 -2.818
-0.076 -0.162 9.453
Ac Ag Zn
12 4 2
Direct
0.289 0.962 0.673
0.437 0.263 0.174
0.810 0.747 0.557
0.711 0.038 0.327
0.563 0.737 0.826
0.711 0.383 0.673
0.089 0.263 0.826
0.190 0.747 0.937
0.810 0.253 0.063
0.190 0.253 0.443
0.289 0.617 0.327
0.911 0.737 0.174
0.500 0.374 0.874
0.500 0.626 0.126
0.352 0.000 0.352
0.648 0.000 0.648
0.000 0.500 0.500
0.000 0.000 0.000
```

## Properties
Its energy of formation is -0.119 eV/atom. For the final energy, the calculation gives -3.63 eV per atom. Its size of the total moment is 0.00 μB/cell.


The following is a PBE calculation of crystalline Sm2GaPd6 at its relaxed geometry, from Alexandria.

Structure (POSCAR):
```
Sm2GaPd6
1.0
3.757 0.000 -0.142
0.000 7.704 0.000
-1.643 -3.852 6.429
Sm Pd Ga
2 6 1
Direct
0.650 0.650 0.301
0.350 0.350 0.699
0.836 0.044 0.671
0.500 0.214 0.000
0.500 0.786 0.000
0.164 0.372 0.329
0.836 0.628 0.671
0.164 0.956 0.329
0.000 0.000 0.000
```

## Properties
Its energy of formation is -0.528 eV/atom. The energy above the lowest structure with this stoichiometry comes out at 268.0 meV/atom. For the final energy, the calculation gives -5.37 eV per atom. Its size of the total moment is 0.00 μB/cell.


Question: Number 1 is which compound?
Answer: InHg2AuBr


Question: Which value of final energy does entry 1 give?
Answer: -1.86 eV per atom


Question: What is the final energy in the first record?
Answer: -1.86 eV per atom